LiBiBRh2: relaxed, GGA-PBE.

The structure in POSCAR format:
```
LiBiBRh2
1.0
4.159 0.000 0.000
0.000 4.159 0.000
0.000 0.000 4.380
Li Bi B Rh
1 1 1 2
direct
0.000 0.000 0.000 Li
0.500 0.500 0.000 Bi
0.000 0.000 0.500 B
0.000 0.500 0.500 Rh
0.500 0.000 0.500 Rh
```

Output
Calculated formation energy, kcal/mol of atoms: -4.8
Energy, eV per atom: -5.643
N(E_F), states/eV/cell: 2.44